# RbCaHg2 (PBE-GGA, relaxed)
data_RbCaHg2
_chemical_formula_sum 'Rb4 Ca4 Hg8'
_space_group_name_H-M_alt 'F m -3 m'
_space_group_IT_number 225
_space_group_name_Hall '-F 4 2 3'
_cell_length_a 8.146
_cell_length_b 8.146
_cell_length_c 8.146
_cell_angle_alpha 90.00
_cell_angle_beta 90.00
_cell_angle_gamma 90.00
loop_
_atom_site_label
_atom_site_fract_x
_atom_site_fract_y
_atom_site_fract_z
_atom_site_occupancy
Rb1 0.000 0.000 0.000 1
Ca1 0.000 0.000 0.500 1
Hg1 0.250 0.250 0.250 1
# DFT total energy   -1.09 eV/atom
# N(E_F)   0.95 states/eV/atom
# Energy above the lowest structure with this stoichiometry   113 meV per atom